Entry from the Alexandria database: crystalline AcLuAu at its relaxed geometry (GGA-PBE).

Structure (CIF):
```
data_AcLuAu
_chemical_formula_sum 'Ac1 Lu1 Au1'
_cell_length_a 5.1915
_cell_length_b 5.1915
_cell_length_c 5.1915
_cell_angle_alpha 60.00
_cell_angle_beta 60.00
_cell_angle_gamma 60.00
_symmetry_space_group_name_H-M 'P 1'
_symmetry_Int_Tables_number 1
loop_
_symmetry_equiv_pos_as_xyz
'x,y,z'
loop_
_atom_site_label
_atom_site_fract_x
_atom_site_fract_y
_atom_site_fract_z
Ac1 0.0000 0.0000 0.0000
Lu1 0.5000 0.5000 0.5000
Au1 0.7500 0.7500 0.7500
```

Summary:
Space group: No. 216
Mass density (Mg/m³): 10.1
Energy (eV per atom): -4.330